## A
Entry from Alexandria: Nd4Sm5Sc2 after structural relaxation (PBE).

a b c (Å): 23.8836 3.5323 8.6706
angles (deg): 90.00 94.56 90.00
With the nearest neighbours (Å) after each atom.
Space group C2/m (No. 12)
Inequivalent atoms, fractional coordinates:
1 Nd 0.0385 0.0000 0.3487 x4  3 Nd 3.32-3.53, 4 Sc 3.48-3.61, 4 Sm 3.51-3.58
2 Nd 0.2254 0.5000 0.8240 x4  1 Sc 3.39, 4 Nd 3.53-3.64, 6 Sm 3.54-3.58
3 Sm 0.0000 0.5000 0.0000 x2  2 Sc 3.48, 6 Sm 3.53-3.55, 4 Nd 3.56
4 Sm 0.1292 0.0000 0.0390 x4  2 Sc 3.52, 5 Sm 3.53-3.90, 4 Nd 3.54-3.58
5 Sm 0.1817 0.0000 0.4766 x4  4 Nd 3.51-3.58, 5 Sm 3.53-3.90, 2 Sc 3.54
6 Sc 0.0873 0.5000 0.6976 x4  5 Nd 3.39-3.61, 5 Sm 3.48-3.54, 2 Sc 3.53

***

## B
Entry from Alexandria: Nd4Sm5Sc2 after structural relaxation (PBE).

a b c (Å): 3.4834 9.5310 22.4596
angles (deg): 90.00 90.00 90.00
With the nearest neighbours (Å) after each atom.
Space group Immm (No. 71)
Inequivalent atoms, fractional coordinates:
1 Nd 0.0000 0.0000 0.0981 x4  1 Sc 2.97
2 Nd 0.0000 0.2952 0.5000 x4  4 Sm 3.31-3.63, 6 Nd 3.42-3.48
3 Sm 0.0000 0.2115 0.3423 x8  1 Sc 3.22, 2 Sm 3.48, 2 Nd 3.52
4 Sm 0.0000 0.5000 0.0000 x2  4 Nd 3.31, 2 Sm 3.48
5 Sc 0.0000 0.0000 0.2303 x4  1 Nd 2.97, 2 Sm 3.22

***

Stability comparison, relative energies in kJ/mol of atoms: A 0.0; B 15.6

***

## A
Entry from Alexandria: Nd3Sm4Sc after structural relaxation (PBE).

a b c (Å): 11.6010 7.3118 6.3074
angles (deg): 90.00 90.00 90.00
With the nearest neighbours (Å) after each atom.
Space group Pmn2_1 (No. 31)
Inequivalent atoms, fractional coordinates:
1 Nd 0.0000 0.1243 0.0000 x2  4 Nd 3.56-3.58, 6 Sm 3.61-3.68, 2 Sc 3.64-3.65
2 Nd 0.2489 0.1216 0.3312 x4  4 Nd 3.56-3.62, 2 Sc 3.57-3.59, 6 Sm 3.60-3.70
3 Sm 0.0000 0.3737 0.5055 x2  6 Sm 3.54-3.70, 4 Nd 3.60-3.67, 2 Sc 3.65-3.66
4 Sm 0.0000 0.6271 0.9972 x2  6 Sm 3.56-3.70, 4 Nd 3.60-3.68, 2 Sc 3.63-3.64
5 Sm 0.2438 0.6274 0.3392 x4  1 Sc 3.50, 6 Sm 3.54-3.67, 5 Nd 3.61-3.70
6 Sc 0.0000 0.8745 0.4984 x2  6 Sm 3.50-3.66, 6 Nd 3.57-3.65

***

## B
Entry from Alexandria: Nd3Sm4Sc after structural relaxation (PBE).

a b c (Å): 3.5145 11.7416 12.9937
angles (deg): 90.00 90.00 90.00
With the nearest neighbours (Å) after each atom.
Space group Immm (No. 71)
Inequivalent atoms, fractional coordinates:
1 Nd 0.0000 0.0000 0.0000 x2  6 Nd 3.51-3.83, 8 Sm 3.89
2 Nd 0.0000 0.5000 0.2382 x4  6 Sm 3.45-3.63, 4 Nd 3.51-3.83, 2 Sc 3.56
3 Sm 0.0000 0.2436 0.3674 x8  1 Sc 3.34, 5 Sm 3.45-3.52, 3 Nd 3.45-3.63
4 Sc 0.0000 0.0000 0.5000 x2  4 Sm 3.34, 2 Sc 3.51, 4 Nd 3.56

***

Stability comparison, relative energies in kJ/mol of atoms: A 0.0; B 7.3